# 1
A PBEsol-optimized structure of BeAl2Cd, computed with SCAN.

Properties
Density of states at the Fermi level in states/eV/cell: 1.61
ΔE_f in eV per atom: 0.384
Relative energy among the computed polymorphs in kJ/mol of atoms: 12.5
DFT total energy in eV per atom: -12.18

Structure (POSCAR):
```
BeAl2Cd
1.0
-1.2943 -3.1284 2.9889
3.0943 -2.2257 2.4222
0.4069 0.8006 4.4260
Be Al Cd
1 2 1
Direct
0.5000 0.5000 0.5000
0.0000 0.0000 0.0000
0.2500 0.2500 0.2500
0.7500 0.7500 0.7500
```



# 2
A PBEsol-optimized structure of MgIr2Rh, computed with SCAN.

Properties
Density of states at the Fermi level in states/eV/cell: 4.33
ΔE_f in eV per atom: 0.024
DFT total energy in eV per atom: -45.21

Structure (POSCAR):
```
MgIr2Rh
1.0
-3.4293 -0.9234 -2.4993
-3.5076 -1.8824 1.7355
-3.6816 2.2600 0.4437
Ir Mg Rh
2 1 1
Direct
0.0000 0.0000 0.0000
0.7500 0.7500 0.7500
0.5000 0.5000 0.5000
0.2500 0.2500 0.2500
```



# 3
A PBEsol-optimized structure of Os2W, computed with SCAN.

Properties
Density of states at the Fermi level in states/eV/cell: 3.03
ΔE_f in eV per atom: 0.998
Relative energy among the computed polymorphs in kJ/mol of atoms: 95.6
DFT total energy in eV per atom: -70.15

Structure (POSCAR):
```
Os2W
1.0
3.0688 0.0000 0.0000
0.0000 4.1079 0.0000
0.0000 0.0000 4.1079
Os W
2 1
Direct
0.5000 0.0000 0.5000
0.5000 0.5000 0.0000
0.0000 0.0000 0.0000
```



# 4
A PBEsol-optimized structure of Sr2HgW, computed with SCAN.

Properties
Density of states at the Fermi level in states/eV/cell: 3.87
ΔE_f in eV per atom: 0.907
DFT total energy in eV per atom: -44.69

Structure (POSCAR):
```
Sr2HgW
1.0
-0.3399 4.4645 1.4711
-3.7066 -1.1616 2.6688
4.9184 -2.6174 1.5305
Hg Sr W
1 2 1
Direct
0.2500 0.7500 0.5000
0.0000 0.0000 0.0000
0.7500 0.2500 0.5000
0.5000 0.5000 0.0000
```



# 5
A PBEsol-optimized structure of ReAs2RhSe, computed with SCAN.

Properties
E_form (uncorrected) in eV/atom: 1.142
Density of states at the Fermi level in states/eV/cell: 2.65
DFT total energy in eV per atom: -31.92

Structure (POSCAR):
```
ReAs2RhSe
1.0
-0.0409 -2.5433 3.7349
1.2674 -3.5916 -2.4319
5.0389 1.1914 0.8665
Re As Rh Se
1 2 1 1
Direct
0.0000 0.0000 0.5000
0.0000 0.5000 0.0000
0.5000 0.0000 0.0000
0.0000 0.0000 0.0000
0.5000 0.5000 0.5000
```



# 6
A PBEsol-optimized structure of Ir2RhSe, computed with SCAN.

Properties
E_form (uncorrected) in eV/atom: 0.431
Density of states at the Fermi level in states/eV/cell: 3.56
DFT total energy in eV per atom: -48.58

Structure (POSCAR):
```
Ir2RhSe
1.0
2.8073 -0.0029 0.0000
-0.0439 4.5186 0.0000
0.0000 0.0000 4.6654
Ir Rh Se
2 1 1
Direct
0.2454 0.2515 0.0000
0.7546 0.7485 0.0000
0.0000 0.5000 0.5000
0.5000 0.0000 0.5000
```



# 7
A PBEsol-optimized structure of NiMoN2F, computed with SCAN.

Properties
E_form (uncorrected) in eV/atom: 0.450
Density of states at the Fermi level in states/eV/cell: 1.61
DFT total energy in eV per atom: -14.19

Structure (POSCAR):
```
NiMoN2F
1.0
-0.2373 -3.1817 -1.5001
3.6647 0.0205 -0.6233
0.5713 -1.6013 3.3058
Ni Mo N F
1 1 2 1
Direct
0.0000 0.0000 0.0000
0.5000 0.5000 0.5000
0.0000 0.0000 0.5000
0.0000 0.5000 0.0000
0.5000 0.0000 0.0000
```



# 8
A PBEsol-optimized structure of Bi2Pt2I, computed with SCAN.

Properties
E_form (uncorrected) in eV/atom: -0.236
Density of states at the Fermi level in states/eV/cell: 1.34
DFT total energy in eV per atom: -67.09

Structure (POSCAR):
```
Bi2Pt2I
1.0
-3.9131 -0.0629 -0.4847
0.3566 -3.0418 -2.4843
1.0701 -3.7633 7.8913
I Bi Pt
1 2 2
Direct
0.0000 0.0000 0.0000
0.3658 0.3658 0.7317
0.6342 0.6342 0.2683
0.2500 0.7500 0.5000
0.7500 0.2500 0.5000
```



> DFT total energy of number 3 (Os2W)?

-70.15 eV per atom